! MnAlSbI2 | the Alexandria database | GGA-PBE | optimized geometry; values from VASP
&SYSTEM
  ibrav = 0, nat = 5, ntyp = 4
/
ATOMIC_SPECIES
I 126.90 I.upf
Mn 54.94 Mn.upf
Sb 121.76 Sb.upf
Al 26.98 Al.upf
CELL_PARAMETERS angstrom
5.713 0.000 0.000
0.000 5.713 0.000
0.000 0.000 5.155
ATOMIC_POSITIONS angstrom
I 2.857 0.000 0.000
Mn 0.000 0.000 0.000
Sb 0.000 0.000 2.578
I 0.000 2.857 0.000
Al 2.857 2.857 2.578
! Polymorph energy (0 for the lowest one)   0.00 eV/f.u.
! Formation energy (no corrections)   1.6 eV per formula unit
! DOS at the Fermi energy   2.59 states/eV per cell
! SG   No. 123